First-principles (PBE+U) data for a geometry-optimized V2AgHgO6 structure, as listed in Alexandria.

**Volume**: 349 Å³/cell
**Electronic total energy**: -6.078 eV/atom
**SG**: C2/c

Cell lengths 8.077, 8.077, 5.865 Å; angles 106.99, 106.99, 80.99 degrees
Fractional coordinates of all 20 atoms:
V1 0.083 0.271 0.212
V2 0.271 0.083 0.712
V3 0.729 0.917 0.288
V4 0.917 0.729 0.788
Ag1 0.338 0.662 0.250
Ag2 0.662 0.338 0.750
Hg1 0.400 0.600 0.750
Hg2 0.600 0.400 0.250
O1 0.135 0.160 0.453
O2 0.135 0.686 0.884
O3 0.160 0.135 0.953
O4 0.184 0.457 0.320
O5 0.314 0.865 0.616
O6 0.457 0.184 0.820
O7 0.543 0.816 0.180
O8 0.686 0.135 0.384
O9 0.816 0.543 0.680
O10 0.840 0.865 0.047
O11 0.865 0.314 0.116
O12 0.865 0.840 0.547